Record 1
Material: MgPaV2O8
Method: DFT, PBE with a Hubbard U
State: optimized geometry Values from VASP.

Structure (Quantum ESPRESSO input):
```
&SYSTEM
  ibrav = 0, nat = 12, ntyp = 4
/
ATOMIC_SPECIES
Mg 24.30 Mg.upf
Pa 231.04 Pa.upf
V 50.94 V.upf
O 16.00 O.upf
CELL_PARAMETERS angstrom
5.820 0.000 0.000
-2.910 5.040 0.000
0.000 0.000 6.065
ATOMIC_POSITIONS crystal
Mg 0.000 0.000 0.500
Pa 0.000 0.000 0.000
V 0.667 0.333 0.336
V 0.333 0.667 0.664
O 0.841 0.159 0.248
O 0.841 0.682 0.248
O 0.318 0.159 0.248
O 0.682 0.841 0.752
O 0.333 0.667 0.394
O 0.667 0.333 0.606
O 0.159 0.841 0.752
O 0.159 0.318 0.752
```

Computed properties:
V	177.9	Å³/cell

Record 2
Material: Mg4PaVO8
Method: DFT, PBE with a Hubbard U
State: optimized geometry Values from VASP.

Structure (Quantum ESPRESSO input):
```
&SYSTEM
  ibrav = 0, nat = 14, ntyp = 4
/
ATOMIC_SPECIES
Mg 24.30 Mg.upf
Pa 231.04 Pa.upf
V 50.94 V.upf
O 16.00 O.upf
CELL_PARAMETERS angstrom
-3.282 -5.013 1.308
1.806 -3.761 4.496
-3.259 -0.237 5.295
ATOMIC_POSITIONS crystal
Mg 0.630 0.630 0.110
Mg 0.992 0.515 0.501
Mg 0.515 0.992 0.501
Mg 0.992 0.992 0.501
Pa 0.365 0.365 0.906
V 0.996 0.996 0.011
O 0.239 0.780 0.743
O 0.780 0.239 0.743
O 0.239 0.239 0.743
O 0.231 0.231 0.306
O 0.766 0.229 0.238
O 0.229 0.766 0.238
O 0.766 0.766 0.238
O 0.759 0.759 0.722
```

Computed properties:
V	166.7	Å³/cell

Record 3
Material: MgPaVO6
Method: DFT, PBE with a Hubbard U
State: optimized geometry Values from VASP.

Structure (Quantum ESPRESSO input):
```
&SYSTEM
  ibrav = 0, nat = 18, ntyp = 4
/
ATOMIC_SPECIES
Mg 24.30 Mg.upf
Pa 231.04 Pa.upf
V 50.94 V.upf
O 16.00 O.upf
CELL_PARAMETERS angstrom
-4.183 -2.214 2.580
2.724 -2.860 -3.668
5.433 -2.914 6.306
ATOMIC_POSITIONS crystal
Mg 0.000 0.000 0.000
Mg 0.000 0.000 0.500
Pa 0.333 0.667 0.250
Pa 0.667 0.333 0.750
V 0.667 0.333 0.250
V 0.333 0.667 0.750
O 0.670 0.633 0.133
O 0.963 0.330 0.133
O 0.330 0.963 0.633
O 0.037 0.670 0.867
O 0.367 0.330 0.367
O 0.963 0.633 0.367
O 0.633 0.963 0.867
O 0.670 0.037 0.367
O 0.037 0.367 0.633
O 0.367 0.037 0.133
O 0.633 0.670 0.633
O 0.330 0.367 0.867
```

Computed properties:
V	221.9	Å³/cell

Record 4
Material: Mg2PaVO8
Method: DFT, PBE with a Hubbard U
State: optimized geometry Values from VASP.

Structure (Quantum ESPRESSO input):
```
&SYSTEM
  ibrav = 0, nat = 12, ntyp = 4
/
ATOMIC_SPECIES
Mg 24.30 Mg.upf
Pa 231.04 Pa.upf
V 50.94 V.upf
O 16.00 O.upf
CELL_PARAMETERS angstrom
4.727 -0.044 -0.003
-0.024 4.729 -0.005
0.004 0.007 6.476
ATOMIC_POSITIONS crystal
Mg 0.500 0.500 0.762
Mg 0.500 0.500 0.238
Pa 0.000 0.000 0.500
V 0.000 0.000 0.000
O 0.190 0.809 0.215
O 0.715 0.716 0.000
O 0.810 0.191 0.215
O 0.810 0.191 0.785
O 0.285 0.284 0.000
O 0.190 0.809 0.785
O 0.693 0.693 0.500
O 0.307 0.307 0.500
```

Computed properties:
V	144.8	Å³/cell

Record 5
Material: MgPaV2O6
Method: DFT, PBE with a Hubbard U
State: optimized geometry Values from VASP.

Structure (Quantum ESPRESSO input):
```
&SYSTEM
  ibrav = 0, nat = 10, ntyp = 4
/
ATOMIC_SPECIES
Mg 24.30 Mg.upf
Pa 231.04 Pa.upf
V 50.94 V.upf
O 16.00 O.upf
CELL_PARAMETERS angstrom
5.439 -0.004 -0.044
2.715 4.692 -0.041
2.679 1.540 4.728
ATOMIC_POSITIONS crystal
Mg 0.309 0.310 0.069
Pa 0.813 0.806 0.568
V 0.513 0.519 0.450
V 0.017 0.016 0.948
O 0.615 0.234 0.253
O 0.235 0.901 0.253
O 0.906 0.616 0.248
O 0.405 0.715 0.741
O 0.714 0.143 0.739
O 0.135 0.401 0.746
```

Computed properties:
V	121.4	Å³/cell

Record 6
Material: MgPaWO6
Method: DFT, PBE with a Hubbard U
State: optimized geometry Values from VASP.

Structure (Quantum ESPRESSO input):
```
&SYSTEM
  ibrav = 0, nat = 18, ntyp = 4
/
ATOMIC_SPECIES
Mg 24.30 Mg.upf
Pa 231.04 Pa.upf
W 183.84 W.upf
O 16.00 O.upf
CELL_PARAMETERS angstrom
5.511 0.000 0.000
-2.755 4.772 0.000
0.000 0.000 8.998
ATOMIC_POSITIONS crystal
Mg 0.000 0.000 0.000
Mg 0.000 0.000 0.500
Pa 0.333 0.667 0.250
Pa 0.667 0.333 0.750
W 0.667 0.333 0.250
W 0.333 0.667 0.750
O 0.670 0.644 0.131
O 0.974 0.330 0.131
O 0.330 0.974 0.631
O 0.026 0.670 0.869
O 0.356 0.330 0.369
O 0.974 0.644 0.369
O 0.644 0.974 0.869
O 0.670 0.026 0.369
O 0.026 0.356 0.631
O 0.356 0.026 0.131
O 0.644 0.670 0.631
O 0.330 0.356 0.869
```

Computed properties:
V	236.6	Å³/cell

| no. | final energy (eV/cell) |
| --- | --- |
| 1 | -93.914 |
| 2 | -100.110 |
| 3 | -143.604 |
| 4 | -87.623 |
| 5 | -81.944 |
| 6 | -143.057 |